Computed, not measured: a relaxed structure of ScOsCO2 at the PBE level of DFT.

Summary:
**Calculated total energy**: -32.66 eV for the cell shown
**Crystal system**: tetragonal
**Formation energy without anion corrections**: 0.809 eV/atom

a = 3.699 Å, b = 3.699 Å, c = 6.566 Å
α = 90.00°, β = 90.00°, γ = 90.00°
Positions (direct):
Sc  0.000  0.000  0.000
Os  0.000  0.000  0.500
C  0.500  0.500  0.500
O  0.000  0.500  0.000
O  0.500  0.000  0.000